Record 1
DFT (PBE) results for a relaxed CaLaScIn crystal.

## Properties
Total magnetization ... 0.0 μB/f.u.
Formation energy ... -0.13 eV per atom
Calculated volume ... 29.18 Å³ per atom

```
data_CaLaScIn
_chemical_formula_sum 'Ca4 La4 Sc4 In4'
_symmetry_space_group_name_H-M 'F -4 3 m'
_symmetry_Int_Tables_number 216
_symmetry_space_group_name_Hall 'F -4 2 3'
_cell_length_a 7.758
_cell_length_b 7.758
_cell_length_c 7.758
_cell_angle_alpha 90.00
_cell_angle_beta 90.00
_cell_angle_gamma 90.00
loop_
_atom_site_label
_atom_site_type_symbol
_atom_site_fract_x
_atom_site_fract_y
_atom_site_fract_z
Ca1 Ca 0.000 0.000 0.000
La1 La 0.250 0.250 0.750
Sc1 Sc 0.250 0.250 0.250
In1 In 0.000 0.000 0.500
```



Record 2
DFT (PBE) results for a relaxed CaYIn2 crystal.

## Properties
Total magnetization ... 0.0 μB/f.u.
Formation energy ... -0.49 eV per atom
Calculated volume ... 27.62 Å³ per atom

```
data_CaYIn2
_chemical_formula_sum 'Ca1 Y1 In2'
_symmetry_space_group_name_H-M 'P 4/m m m'
_symmetry_Int_Tables_number 123
_symmetry_space_group_name_Hall '-P 4 2'
_cell_length_a 3.793
_cell_length_b 3.793
_cell_length_c 7.678
_cell_angle_alpha 90.00
_cell_angle_beta 90.00
_cell_angle_gamma 90.00
loop_
_atom_site_label
_atom_site_type_symbol
_atom_site_fract_x
_atom_site_fract_y
_atom_site_fract_z
Ca1 Ca 0.000 0.000 0.000
Y1 Y 0.000 0.000 0.500
In1 In 0.500 0.500 0.256
```